Entry from Alexandria via LeMat-Bulk: crystalline Ba2Fe4Bi2O11 at its relaxed geometry (PBE with a Hubbard U).

Computed properties:
Crystal system: tetragonal
Electronic total energy, eV/atom: -6.235

POSCAR file:
```
Ba2Fe4Bi2O11
1.0
3.9849 0.0000 0.0000
0.0000 3.9849 0.0000
0.0000 0.0000 16.6051
Ba Fe Bi O
2 4 2 11
Direct
0.0000 0.0000 0.0000
0.0000 0.0000 0.2479
0.5000 0.5000 0.1453
0.5000 0.5000 0.3846
0.5000 0.5000 0.6304
0.5000 0.5000 0.8710
0.0000 0.0000 0.4855
0.0000 0.0000 0.7329
0.0000 0.5000 0.1288
0.0000 0.5000 0.4004
0.0000 0.5000 0.6474
0.0000 0.5000 0.8977
0.5000 0.0000 0.1288
0.5000 0.0000 0.4004
0.5000 0.0000 0.6474
0.5000 0.0000 0.8977
0.5000 0.5000 0.2655
0.5000 0.5000 0.5124
0.5000 0.5000 0.7571
```